Entry 1:
This record from the Alexandria database describes a relaxed Cs2PuCl4O2 crystal. The functional is PBE.

Calculated values
Crystal system: monoclinic
Space group: C2/m
Uncorrected formation energy (eV per atom): -2.048
Total energy (eV/f.u.): -51.78

abc: 7.2532 7.2532 5.9526
angles: 96.76 96.76 65.26
With the nearest neighbours (Å) after each atom.
Fractional positions:
Cs  0.1643  0.1643  0.3109  3 O 3.60-3.98, 8 Cl 3.63-3.74
Cs  0.8357  0.8357  0.6891  3 O 3.60-3.98, 8 Cl 3.63-3.74
Pu  0.5000  0.5000  0.0000  2 O 1.78
Cl  0.1520  0.6514  0.2033  1 Pu 2.67
Cl  0.3486  0.8480  0.7967  1 Pu 2.67
Cl  0.6514  0.1520  0.2033  1 Pu 2.67
Cl  0.8480  0.3486  0.7967  1 Pu 2.67
O  0.3868  0.3868  0.7757  1 Pu 1.78
O  0.6132  0.6132  0.2243  1 Pu 1.78

Entry 2:
This record from the Alexandria database describes a relaxed Cs2PuCl2O2 crystal. The functional is PBE.

Calculated values
Crystal system: tetragonal
Space group: I4/mmm
Uncorrected formation energy (eV per atom): -2.190
Total energy (eV/f.u.): -44.98

abc: 4.5227 4.5227 18.0550
angles: 90.00 90.00 90.00
With the nearest neighbours (Å) after each atom.
Fractional positions:
Cs  0.0000  0.0000  0.1340  4 Cl 3.23, 4 O 3.31
Cs  0.0000  0.0000  0.8660  4 Cl 3.23, 4 O 3.31
Cs  0.5000  0.5000  0.3660  4 Cl 3.23, 4 O 3.31
Cs  0.5000  0.5000  0.6340  4 Cl 3.23, 4 O 3.31
Pu  0.0000  0.0000  0.5000  4 O 2.26
Pu  0.5000  0.5000  0.0000  4 O 2.26
Cl  0.0000  0.0000  0.3420  1 Pu 2.85
Cl  0.0000  0.0000  0.6580  1 Pu 2.85
Cl  0.5000  0.5000  0.1580  1 Pu 2.85
Cl  0.5000  0.5000  0.8420  1 Pu 2.85
O  0.0000  0.5000  0.0000  2 Pu 2.26
O  0.0000  0.5000  0.5000  2 Pu 2.26
O  0.5000  0.0000  0.0000  2 Pu 2.26
O  0.5000  0.0000  0.5000  2 Pu 2.26

Entry 3:
This record from the Alexandria database describes a relaxed Cs2PuCl4O2 crystal. The functional is PBE.

Calculated values
Crystal system: monoclinic
Space group: C2/m
Uncorrected formation energy (eV per atom): -2.050
Total energy (eV/f.u.): -51.80

abc: 7.3759 7.3759 6.0981
angles: 93.94 93.94 62.59
With the nearest neighbours (Å) after each atom.
Fractional positions:
Cs  0.1553  0.1553  0.2481  8 Cl 3.63-3.75, 3 O 3.77-3.92
Cs  0.8447  0.8447  0.7519  8 Cl 3.63-3.75, 3 O 3.77-3.92
Pu  0.5000  0.5000  0.5000  2 O 1.78
Cl  0.1481  0.6516  0.2620  1 Pu 2.67
Cl  0.3484  0.8519  0.7380  1 Pu 2.67
Cl  0.6516  0.1481  0.2620  1 Pu 2.67
Cl  0.8519  0.3484  0.7380  1 Pu 2.67
O  0.3911  0.3911  0.6686  1 Pu 1.78
O  0.6089  0.6089  0.3314  1 Pu 1.78

Entry 4:
This record from the Alexandria database describes a relaxed Cs5Rb2ClO crystal. The functional is PBE.

Calculated values
Crystal system: orthorhombic
Space group: Cmc2_1
Uncorrected formation energy (eV per atom): -0.739
Total energy (eV/f.u.): -19.66

abc: 10.0982 10.0982 26.8118
angles: 90.00 90.00 151.11
With the nearest neighbours (Å) after each atom.
Fractional positions:
Cs  0.0047  0.9953  0.5000  2 O 2.95
Cs  0.3110  0.6890  0.6082  2 Cl 3.46
Cs  0.3432  0.6568  0.9629  1 O 2.81
Cs  0.3735  0.6265  0.4348  1 O 2.79
Cs  0.4660  0.5340  0.8424  1 O 2.72
Cs  0.5340  0.4660  0.3424  1 O 2.72
Cs  0.6265  0.3735  0.9348  1 O 2.79
Cs  0.6568  0.3432  0.4629  1 O 2.81
Cs  0.6890  0.3110  0.1082  2 Cl 3.46
Cs  0.9953  0.0047  0.0000  2 O 2.95
Rb  0.0563  0.9437  0.6838  4 Cs 5.03-5.38, 4 Rb 5.04-5.15
Rb  0.2513  0.7487  0.2753  5 Cs 4.90-5.28, 4 Rb 5.04-5.15
Rb  0.7487  0.2513  0.7753  5 Cs 4.90-5.28, 4 Rb 5.04-5.15
Rb  0.9437  0.0563  0.1838  4 Cs 5.03-5.38, 4 Rb 5.04-5.15
Cl  0.1733  0.8267  0.0204  6 Cs 3.46-3.66
Cl  0.8267  0.1733  0.5204  6 Cs 3.46-3.66
O  0.4842  0.5158  0.9430  5 Cs 2.72-2.95
O  0.5158  0.4842  0.4430  5 Cs 2.72-2.95